Entry 1:
Entry from Alexandria via LeMat-Bulk: a geometry-optimized Pm5Dy2Er2 structure (PBE).

Unit cell a=6.231 b=6.231 c=10.770 alpha=106.79 beta=106.79 gamma=48.16
Fractional positions:
Pm1 0.000 0.000 0.000
Pm2 0.333 0.333 0.445
Pm3 0.334 0.334 0.112
Pm4 0.666 0.666 0.888
Pm5 0.667 0.667 0.555
Dy1 0.000 0.000 0.333
Dy2 0.000 0.000 0.667
Er1 0.333 0.333 0.776
Er2 0.667 0.667 0.224

* energy relative to the elements: 0.02 eV/atom


Entry 2:
Entry from Alexandria via LeMat-Bulk: a geometry-optimized Ti3AlF structure (PBE).

Unit cell a=4.191 b=4.191 c=4.191 alpha=90.00 beta=90.00 gamma=90.00
Fractional positions:
Ti1 0.000 0.000 0.500
Ti2 0.000 0.500 0.000
Ti3 0.500 0.000 0.000
Al1 0.500 0.500 0.500
F1 0.000 0.000 0.000


Entry 3:
Entry from Alexandria via LeMat-Bulk: a geometry-optimized Na3HoBi2O6 structure (PBE).

Unit cell a=6.065 b=6.065 c=6.011 alpha=99.69 beta=99.69 gamma=120.03
Fractional positions:
Na1 0.000 0.000 0.000
Na2 0.334 0.666 0.000
Na3 0.666 0.334 0.000
Ho1 0.500 0.500 0.500
Bi1 0.167 0.833 0.500
Bi2 0.833 0.167 0.500
O1 0.108 0.425 0.277
O2 0.255 0.255 0.720
O3 0.425 0.108 0.277
O4 0.575 0.892 0.723
O5 0.745 0.745 0.280
O6 0.892 0.575 0.723


Entry 4:
Entry from Alexandria via LeMat-Bulk: a geometry-optimized Tb2NdGa3 structure (PBE).

Unit cell a=7.813 b=7.813 c=7.813 alpha=103.55 beta=94.04 gamma=134.04
Fractional positions:
Tb1 0.334 0.250 0.084
Tb2 0.334 0.750 0.584
Tb3 0.666 0.250 0.416
Tb4 0.666 0.750 0.916
Nd1 0.001 0.251 0.750
Nd2 0.999 0.749 0.250
Ga1 0.000 0.250 0.250
Ga2 0.000 0.750 0.750
Ga3 0.500 0.000 0.000
Ga4 0.500 0.250 0.750
Ga5 0.500 0.500 0.500
Ga6 0.500 0.750 0.250

* energy relative to the elements: -0.31 eV/atom


Number 1: energy -4.66 eV/atom. Number 2: energy -6.53 eV/atom. Number 3: energy -5.66 eV/atom. Number 4: energy -4.16 eV/atom.